DFT (PBE) results for crystalline Tm4Pu at its relaxed geometry.

Calculated values
* mass density: 10.320 g/cm3
* spin magnetization: 5.96 μB/f.u.
* space-group type: R-3m
* polymorph energy (0 for the lowest one): 0.0 meV/atom
* calculated formation energy: 60 meV/atom
* calculated total energy: -0.46921 Ry/atom

a = 3.5111 Å, b = 3.5112 Å, c = 14.4409 Å
α = 75.94°, β = 90.00°, γ = 120.00°
Each line ends with the local moment (μB).
Sites, in units of the cell vectors:
Tm 0.7334 0.4669 0.3995  0.03
Tm 0.5342 0.0684 0.1986  -0.04
Tm 0.4658 0.9316 0.8014  -0.04
Tm 0.2666 0.5331 0.6005  0.03
Pu 0.0000 0.0000 0.0000  -5.54